<A>
# PBE Ac2Pr4Ho, optimized geometry
# Calculated volume = 37.9 Å³ per atom
# Symmetry = C2/m
data_Ac2Pr4Ho
_chemical_formula_sum 'Ac2 Pr4 Ho1'
_space_group_name_H-M_alt 'P 1'
_space_group_IT_number 1
_space_group_name_Hall 'P 1'
_cell_length_a 5.358
_cell_length_b 6.479
_cell_length_c 8.471
_cell_angle_alpha 97.67
_cell_angle_beta 89.98
_cell_angle_gamma 65.63
loop_
_atom_site_label
_atom_site_type_symbol
_atom_site_fract_x
_atom_site_fract_y
_atom_site_fract_z
Ac1 Ac 0.287 0.425 0.144
Ac2 Ac 0.713 0.575 0.856
Ho1 Ho 0.000 0.000 0.000
Pr1 Pr 0.572 0.856 0.291
Pr2 Pr 0.141 0.718 0.574
Pr3 Pr 0.859 0.282 0.426
Pr4 Pr 0.428 0.144 0.709

***

<B>
# PBE Ac2Pr4Ho, optimized geometry
# Calculated volume = 43.8 Å³ per atom
# Symmetry = I4/mmm
data_Ac2Pr4Ho
_chemical_formula_sum 'Ac2 Pr4 Ho1'
_space_group_name_H-M_alt 'P 1'
_space_group_IT_number 1
_space_group_name_Hall 'P 1'
_cell_length_a 5.765
_cell_length_b 5.765
_cell_length_c 10.080
_cell_angle_alpha 106.62
_cell_angle_beta 106.62
_cell_angle_gamma 90.00
loop_
_atom_site_label
_atom_site_type_symbol
_atom_site_fract_x
_atom_site_fract_y
_atom_site_fract_z
Ac1 Ac 0.373 0.373 0.747
Pr1 Pr 0.500 0.000 0.000
Ac2 Ac 0.627 0.627 0.253
Pr2 Pr 0.000 0.500 0.000
Pr3 Pr 0.176 0.176 0.352
Ho1 Ho 0.000 0.000 0.000
Pr4 Pr 0.824 0.824 0.648

***

The structure with the most favorable energy is <A>; the runner-up is 0.525 eV/atom above it.

***

<A>
# PBE AcPrHoTm, optimized geometry
# Calculated volume = 35.5 Å³ per atom
# Symmetry = F-43m
data_AcPrHoTm
_chemical_formula_sum 'Ac1 Pr1 Ho1 Tm1'
_space_group_name_H-M_alt 'P 1'
_space_group_IT_number 1
_space_group_name_Hall 'P 1'
_cell_length_a 5.859
_cell_length_b 5.859
_cell_length_c 5.859
_cell_angle_alpha 60.00
_cell_angle_beta 60.00
_cell_angle_gamma 60.00
loop_
_atom_site_label
_atom_site_type_symbol
_atom_site_fract_x
_atom_site_fract_y
_atom_site_fract_z
Ac1 Ac 0.750 0.750 0.750
Tm1 Tm 0.000 0.000 0.000
Pr1 Pr 0.250 0.250 0.250
Ho1 Ho 0.500 0.500 0.500

***

<B>
# PBE AcPrHoTm, optimized geometry
# Calculated volume = 35.4 Å³ per atom
# Symmetry = P4mm
data_AcPrHoTm
_chemical_formula_sum 'Ac1 Pr1 Ho1 Tm1'
_space_group_name_H-M_alt 'P 1'
_space_group_IT_number 1
_space_group_name_Hall 'P 1'
_cell_length_a 3.705
_cell_length_b 3.705
_cell_length_c 10.303
_cell_angle_alpha 90.01
_cell_angle_beta 89.99
_cell_angle_gamma 90.00
loop_
_atom_site_label
_atom_site_type_symbol
_atom_site_fract_x
_atom_site_fract_y
_atom_site_fract_z
Tm1 Tm 0.146 0.854 0.215
Pr1 Pr 0.646 0.354 0.457
Ho1 Ho 0.646 0.354 0.989
Ac1 Ac 0.146 0.854 0.727

***

The structure with the most favorable energy is <B>; the runner-up is 0.042 eV/atom above it.

***

<A>
# PBE AcHoPt, optimized geometry
# Calculated volume = 29.3 Å³ per atom
# Symmetry = C2/m
data_AcHoPt
_chemical_formula_sum 'Ac2 Ho2 Pt2'
_space_group_name_H-M_alt 'P 1'
_space_group_IT_number 1
_space_group_name_Hall 'P 1'
_cell_length_a 4.917
_cell_length_b 4.917
_cell_length_c 7.277
_cell_angle_alpha 90.08
_cell_angle_beta 90.08
_cell_angle_gamma 89.98
loop_
_atom_site_label
_atom_site_type_symbol
_atom_site_fract_x
_atom_site_fract_y
_atom_site_fract_z
Pt1 Pt 0.313 0.366 0.714
Ac1 Ac 0.313 0.366 0.301
Ho1 Ho 0.314 0.866 0.920
Ho2 Ho 0.813 0.367 0.920
Ac2 Ac 0.814 0.867 0.538
Pt2 Pt 0.814 0.867 0.126

***

<B>
# PBE AcHoPt, optimized geometry
# Calculated volume = 29.3 Å³ per atom
# Symmetry = P2_1/c
data_AcHoPt
_chemical_formula_sum 'Ac4 Ho4 Pt4'
_space_group_name_H-M_alt 'P 1'
_space_group_IT_number 1
_space_group_name_Hall 'P 1'
_cell_length_a 6.557
_cell_length_b 8.841
_cell_length_c 8.845
_cell_angle_alpha 136.63
_cell_angle_beta 90.00
_cell_angle_gamma 90.00
loop_
_atom_site_label
_atom_site_type_symbol
_atom_site_fract_x
_atom_site_fract_y
_atom_site_fract_z
Ac1 Ac 0.999 0.323 0.677
Pt1 Pt 0.499 0.368 0.635
Pt2 Pt 0.999 0.132 0.865
Pt3 Pt 0.501 0.632 0.365
Ho1 Ho 0.311 0.308 0.309
Ho2 Ho 0.189 0.808 0.809
Ho3 Ho 0.689 0.692 0.691
Ac2 Ac 0.501 0.823 0.177
Ho4 Ho 0.811 0.192 0.191
Ac3 Ac 0.001 0.677 0.323
Pt4 Pt 0.001 0.868 0.135
Ac4 Ac 0.499 0.177 0.823

***

<C>
# PBE AcHoPt, optimized geometry
# Calculated volume = 34.0 Å³ per atom
# Symmetry = P3m1
data_AcHoPt
_chemical_formula_sum 'Ac1 Ho1 Pt1'
_space_group_name_H-M_alt 'P 1'
_space_group_IT_number 1
_space_group_name_Hall 'P 1'
_cell_length_a 6.461
_cell_length_b 4.270
_cell_length_c 4.270
_cell_angle_alpha 120.00
_cell_angle_beta 90.00
_cell_angle_gamma 90.00
loop_
_atom_site_label
_atom_site_type_symbol
_atom_site_fract_x
_atom_site_fract_y
_atom_site_fract_z
Ho1 Ho 0.563 0.667 0.333
Ac1 Ac 0.080 0.000 0.000
Pt1 Pt 0.357 0.333 0.667

***

The structure with the most favorable energy is <A>; the runner-up is 0.021 eV/atom above it.

***

<A>
# PBE AcHoPt, optimized geometry
# Calculated volume = 31.3 Å³ per atom
# Symmetry = F-43m
data_AcHoPt
_chemical_formula_sum 'Ac1 Ho1 Pt1'
_space_group_name_H-M_alt 'P 1'
_space_group_IT_number 1
_space_group_name_Hall 'P 1'
_cell_length_a 5.102
_cell_length_b 5.102
_cell_length_c 5.102
_cell_angle_alpha 60.00
_cell_angle_beta 60.00
_cell_angle_gamma 60.00
loop_
_atom_site_label
_atom_site_type_symbol
_atom_site_fract_x
_atom_site_fract_y
_atom_site_fract_z
Ac1 Ac 0.000 0.000 0.000
Ho1 Ho 0.500 0.500 0.500
Pt1 Pt 0.250 0.250 0.250

***

<B>
# PBE AcHoPt, optimized geometry
# Calculated volume = 33.9 Å³ per atom
# Symmetry = C2
data_AcHoPt
_chemical_formula_sum 'Ac2 Ho2 Pt2'
_space_group_name_H-M_alt 'P 1'
_space_group_IT_number 1
_space_group_name_Hall 'P 1'
_cell_length_a 5.489
_cell_length_b 5.489
_cell_length_c 7.806
_cell_angle_alpha 111.09
_cell_angle_beta 111.09
_cell_angle_gamma 77.46
loop_
_atom_site_label
_atom_site_type_symbol
_atom_site_fract_x
_atom_site_fract_y
_atom_site_fract_z
Ho1 Ho 0.687 0.313 0.000
Ac1 Ac 0.168 0.846 0.260
Ho2 Ho 0.654 0.346 0.500
Pt1 Pt 0.278 0.264 0.138
Ac2 Ac 0.154 0.832 0.740
Pt2 Pt 0.736 0.722 0.862

***

The structure with the most favorable energy is <A>; the runner-up is 0.088 eV/atom above it.